Record 1
## BaSbI2Cl (meta-GGA SCAN)

Data for BaSbI2Cl at its PBEsol-relaxed geometry.

```
data_BaSbI2Cl
_space_group_name_H-M_alt 'P 4/m m m'
_space_group_IT_number 123
_space_group_name_Hall '-P 4 2'
_cell_length_a 6.3407
_cell_length_b 6.3407
_cell_length_c 5.0015
_cell_angle_alpha 90.00
_cell_angle_beta 90.00
_cell_angle_gamma 90.00
loop_
_atom_site_label
_atom_site_fract_x
_atom_site_fract_y
_atom_site_fract_z
Ba1 0.0000 0.0000 0.0000
Sb1 0.5000 0.5000 0.0000
I1 0.0000 0.5000 0.5000
Cl1 0.5000 0.5000 0.5000
```

total magnetization = 0.40 μB per atom
DOS(E_F) = 3.07 states/eV/f.u.
E_tot = -160.98 eV for the cell shown


Record 2
## CdCuPt2 (meta-GGA SCAN)

Data for CdCuPt2 at its PBEsol-relaxed geometry.

```
data_CdCuPt2
_space_group_name_H-M_alt 'C 1 2/m 1'
_space_group_IT_number 12
_cell_length_a 9.1220
_cell_length_b 2.8026
_cell_length_c 4.7966
_cell_angle_alpha 90.00
_cell_angle_beta 101.53
_cell_angle_gamma 90.00
loop_
_space_group_symop_operation_xyz
'x,y,z'
'-x,-y,-z'
'-x,y,-z'
'x,-y,z'
'x+1/2,y+1/2,z'
'-x+1/2,-y+1/2,-z'
'-x+1/2,y+1/2,-z'
'x+1/2,-y+1/2,z'
loop_
_atom_site_label
_atom_site_fract_x
_atom_site_fract_y
_atom_site_fract_z
Cd1 0.0000 0.0000 0.0000
Cu1 0.0000 0.5000 0.5000
Pt1 0.2437 0.0000 0.7394
```

ΔH_f (0 K) = -0.189 eV per atom
total magnetization = 0.00 μB per atom
DOS(E_F) = 1.67 states/eV/f.u.
E_tot = -373.51 eV for the cell shown